[1]
This record from the Alexandria database describes an optimized crystal structure of TmLu2Tc. The functional is PBE.

Structure (POSCAR):
```
TmLu2Tc
1.0
3.407 0.000 0.000
0.000 3.407 0.000
0.000 0.000 8.566
Tm Lu Tc
1 2 1
direct
0.000 0.000 0.000
0.500 0.500 0.313
0.500 0.500 0.687
0.000 0.000 0.500
```

Results
Crystal system = tetragonal
Distance to the lowest polymorph of the same formula = 0.00 kJ/mol of atoms

=====

[2]
This record from the Alexandria database describes an optimized crystal structure of AlIr3. The functional is PBE.

Structure (POSCAR):
```
AlIr3
1.0
2.780 0.000 0.000
0.000 4.061 0.000
-1.060 0.000 5.120
Al Ir
1 3
direct
0.000 0.000 0.000
0.000 0.000 0.500
0.385 0.500 0.243
0.615 0.500 0.757
```

Results
Crystal system = monoclinic
Electronic total energy = -7.85 eV/atom